# 1
# Pr11Nd4Er9

A geometry-optimized Pr11Nd4Er9 structure (GGA-PBE, Alexandria).

Summary:
Total moment = 0.00 μB per cell
Fermi-level density of states = 1.27 states/eV per atom

a = 17.048 Å, b = 25.792 Å, c = 3.730 Å
α = 90.00°, β = 90.00°, γ = 90.00°
Space group Cmmm (No. 65)
One atom of each set of equivalent atoms:
Pr: 0.000 0.000 0.000
Pr: 0.000 0.160 0.000
Pr: 0.000 0.367 0.000
Pr: 0.211 0.500 0.000
Pr: 0.225 0.181 0.000
Nd: 0.156 0.399 0.500
Er: 0.000 0.500 0.500
Er: 0.101 0.265 0.500
Er: 0.138 0.073 0.500

---

# 2
# CsBePS2

A geometry-optimized CsBePS2 structure (GGA-PBE, Alexandria).

Summary:
Polymorph energy (0 for the lowest one) = 1785 meV/atom
Total moment = 2.07 μB per cell
Fermi-level density of states = 0.74 states/eV per atom
Uncorrected formation energy = 9.8 eV per formula unit

a = 5.572 Å, b = 5.572 Å, c = 7.124 Å
α = 90.00°, β = 90.00°, γ = 90.00°
Space group P4/mmm (No. 123)
One atom of each set of equivalent atoms:
Cs: 0.000 0.000 0.000
Be: 0.500 0.500 0.500
P: 0.000 0.000 0.500
S: 0.000 0.500 0.000

---

# 3
# ZrTa3V

A geometry-optimized ZrTa3V structure (GGA-PBE, Alexandria).

Summary:
Polymorph energy (0 for the lowest one) = 0 meV/atom
Total moment = 0.00 μB per cell
Fermi-level density of states = 1.17 states/eV per atom

a = 4.688 Å, b = 4.688 Å, c = 4.688 Å
α = 90.00°, β = 90.00°, γ = 90.00°
Space group Pm-3m (No. 221)
One atom of each set of equivalent atoms:
Zr: 0.000 0.000 0.000
Ta: 0.000 0.500 0.500
V: 0.500 0.500 0.500

---

# 4
# Th4ReTe2Se

A geometry-optimized Th4ReTe2Se structure (GGA-PBE, Alexandria).

Summary:
Total moment = 0.00 μB per cell
Fermi-level density of states = 0.77 states/eV per atom
Uncorrected formation energy = -7.6 eV per formula unit

a = 7.571 Å, b = 4.228 Å, c = 7.862 Å
α = 90.00°, β = 108.00°, γ = 90.00°
Space group P2/m (No. 10)
One atom of each set of equivalent atoms:
Th: 0.214 0.000 0.206
Th: 0.247 0.500 0.785
Re: 0.000 0.500 0.000
Te: 0.000 0.000 0.500
Te: 0.500 0.500 0.500
Se: 0.500 0.000 0.000

---

# 5
# Rb3Dy2BiS6

A geometry-optimized Rb3Dy2BiS6 structure (GGA-PBE, Alexandria).

Summary:
Total moment = 0.00 μB per cell
Fermi-level density of states = 0.00 states/eV per atom
Uncorrected formation energy = -18.0 eV per formula unit

a = 7.143 Å, b = 12.371 Å, c = 8.041 Å
α = 90.00°, β = 107.21°, γ = 90.00°
Space group C2/m (No. 12)
One atom of each set of equivalent atoms:
Rb: 0.000 0.000 0.000
Rb: 0.000 0.336 0.000
Dy: 0.000 0.167 0.500
Bi: 0.000 0.500 0.500
S: 0.222 0.000 0.694
S: 0.236 0.329 0.694

---

# 6
# RbLi5Tl7

A geometry-optimized RbLi5Tl7 structure (GGA-PBE, Alexandria).

Summary:
Total moment = 0.00 μB per cell
Fermi-level density of states = 0.30 states/eV per atom

a = 5.976 Å, b = 10.557 Å, c = 10.422 Å
α = 90.00°, β = 90.00°, γ = 90.00°
Space group Imm2 (No. 44)
One atom of each set of equivalent atoms:
Rb: 0.000 0.000 0.000
Li: 0.000 0.500 0.734
Li: 0.244 0.256 0.256
Tl: 0.000 0.000 0.346
Tl: 0.000 0.000 0.650
Tl: 0.000 0.286 0.517
Tl: 0.000 0.349 0.986
Tl: 0.000 0.500 0.268

---

# 7
# LaSe3

A geometry-optimized LaSe3 structure (GGA-PBE, Alexandria).

Summary:
Total moment = 3.00 μB per cell
Fermi-level density of states = 1.05 states/eV per atom
Uncorrected formation energy = -1.5 eV per formula unit

a = 5.917 Å, b = 5.917 Å, c = 5.917 Å
α = 90.00°, β = 90.00°, γ = 90.00°
Space group Pm-3m (No. 221)
One atom of each set of equivalent atoms:
La: 0.000 0.000 0.000
Se: 0.000 0.000 0.500

---

# 8
# BaMn2Be

A geometry-optimized BaMn2Be structure (GGA-PBE, Alexandria).

Summary:
Total moment = 6.72 μB per cell
Fermi-level density of states = 0.81 states/eV per atom

a = 3.092 Å, b = 3.750 Å, c = 7.119 Å
α = 90.00°, β = 101.16°, γ = 90.00°
Space group P2/m (No. 10)
One atom of each set of equivalent atoms:
Ba: 0.000 0.000 0.000
Mn: 0.361 0.500 0.649
Be: 0.000 0.000 0.500

---

# 9
# Ta2CdSi

A geometry-optimized Ta2CdSi structure (GGA-PBE, Alexandria).

Summary:
Total moment = 0.00 μB per cell
Fermi-level density of states = 0.37 states/eV per atom
Uncorrected formation energy = 0.6 eV per formula unit

a = 2.869 Å, b = 4.114 Å, c = 5.877 Å
α = 90.00°, β = 90.00°, γ = 90.00°
Space group Pmmm (No. 47)
One atom of each set of equivalent atoms:
Ta: 0.000 0.000 0.233
Cd: 0.500 0.500 0.500
Si: 0.500 0.500 0.000

---

# 10
# PrZn8Pt4

A geometry-optimized PrZn8Pt4 structure (GGA-PBE, Alexandria).

Summary:
Total moment = 0.00 μB per cell
Fermi-level density of states = 0.48 states/eV per atom

a = 8.858 Å, b = 8.858 Å, c = 5.500 Å
α = 90.00°, β = 90.00°, γ = 90.00°
Space group I4/mmm (No. 139)
One atom of each set of equivalent atoms:
Pr: 0.000 0.000 0.000
Zn: 0.000 0.219 0.500
Zn: 0.000 0.349 0.000
Pt: 0.250 0.250 0.250

---

# 11
# Th2PaV

A geometry-optimized Th2PaV structure (GGA-PBE, Alexandria).

Summary:
Total moment = 6.17 μB per cell
Fermi-level density of states = 1.75 states/eV per atom

a = 3.2931 Å, b = 3.2931 Å, c = 33.9997 Å
α = 90.00°, β = 90.00°, γ = 120.00°
Space group R-3m (No. 166, hexagonal axes)
One atom of each set of equivalent atoms:
Th: 0.0000 0.0000 0.0796
Pa: 0.0000 0.0000 0.5000
V: 0.0000 0.0000 0.0000

---

# 12
# CrReRu2

A geometry-optimized CrReRu2 structure (GGA-PBE, Alexandria).

Summary:
Polymorph energy (0 for the lowest one) = 8 meV/atom
Total moment = 0.00 μB per cell
Fermi-level density of states = 1.16 states/eV per atom

a = 2.707 Å, b = 2.707 Å, c = 7.486 Å
α = 90.00°, β = 90.00°, γ = 90.00°
Space group P4/mmm (No. 123)
One atom of each set of equivalent atoms:
Cr: 0.000 0.000 0.000
Re: 0.000 0.000 0.500
Ru: 0.500 0.500 0.237

---

# 13
# K2In2Hg15

A geometry-optimized K2In2Hg15 structure (GGA-PBE, Alexandria).

Summary:
Total moment = 0.00 μB per cell
Fermi-level density of states = 0.36 states/eV per atom

a = 10.3574 Å, b = 10.3574 Å, c = 17.8097 Å
α = 90.00°, β = 90.00°, γ = 120.00°
Space group R-3m (No. 166, hexagonal axes)
One atom of each set of equivalent atoms:
K: 0.0000 0.0000 0.1835
In: 0.0000 0.0000 0.4051
Hg: 0.0000 0.2961 0.5000
Hg: 0.0000 0.5000 0.0000
Hg: 0.0317 0.5159 0.6285

---

# 14
# ZnAg2Pt

A geometry-optimized ZnAg2Pt structure (GGA-PBE, Alexandria).

Summary:
Total moment = 0.00 μB per cell
Fermi-level density of states = 0.26 states/eV per atom

a = 3.938 Å, b = 3.938 Å, c = 4.179 Å
α = 90.00°, β = 90.00°, γ = 90.00°
Space group P4/mmm (No. 123)
One atom of each set of equivalent atoms:
Zn: 0.000 0.000 0.000
Ag: 0.000 0.500 0.500
Pt: 0.500 0.500 0.000

---

# 15
# Ac2AlAgO6

A geometry-optimized Ac2AlAgO6 structure (GGA-PBE, Alexandria).

Summary:
Total moment = 0.00 μB per cell
Fermi-level density of states = 0.30 states/eV per atom
Uncorrected formation energy = -23.6 eV per formula unit

a = 5.671 Å, b = 5.671 Å, c = 4.070 Å
α = 90.00°, β = 90.00°, γ = 90.00°
Space group P4/mmm (No. 123)
One atom of each set of equivalent atoms:
Ac: 0.000 0.500 0.000
Al: 0.000 0.000 0.500
Ag: 0.500 0.500 0.500
O: 0.000 0.000 0.000
O: 0.234 0.234 0.500
O: 0.500 0.500 0.000

---

# 16
# La5Hg4Pt

A geometry-optimized La5Hg4Pt structure (GGA-PBE, Alexandria).

Summary:
Total moment = 0.65 μB per cell
Fermi-level density of states = 1.12 states/eV per atom

a = 3.846 Å, b = 3.846 Å, c = 19.444 Å
α = 90.00°, β = 90.00°, γ = 90.00°
Space group P4/mmm (No. 123)
One atom of each set of equivalent atoms:
La: 0.000 0.000 0.000
La: 0.000 0.000 0.206
La: 0.000 0.000 0.414
Hg: 0.500 0.500 0.103
Hg: 0.500 0.500 0.306
Pt: 0.500 0.500 0.500

---

# 17
# Mg2SnOsO8

A geometry-optimized Mg2SnOsO8 structure (GGA-PBE, Alexandria).

Summary:
Total moment = 0.00 μB per cell
Fermi-level density of states = 0.04 states/eV per atom
Uncorrected formation energy = -19.0 eV per formula unit

a = 6.471 Å, b = 6.874 Å, c = 6.346 Å
α = 90.00°, β = 90.00°, γ = 90.00°
Space group Cmmm (No. 65)
One atom of each set of equivalent atoms:
Mg: 0.000 0.000 0.249
Sn: 0.000 0.500 0.000
Os: 0.000 0.500 0.500
O: 0.000 0.311 0.284
O: 0.200 0.000 0.000
O: 0.212 0.000 0.500

---

# 18
# TeH2Pd7

A geometry-optimized TeH2Pd7 structure (GGA-PBE, Alexandria).

Summary:
Total moment = 0.00 μB per cell
Fermi-level density of states = 0.51 states/eV per atom

a = 7.337 Å, b = 12.097 Å, c = 3.211 Å
α = 90.00°, β = 90.00°, γ = 90.00°
Space group Cmmm (No. 65)
One atom of each set of equivalent atoms:
Te: 0.000 0.000 0.000
H: 0.000 0.353 0.500
Pd: 0.000 0.291 0.000
Pd: 0.000 0.500 0.500
Pd: 0.195 0.136 0.500

---

# 19
# Ac2TbHg

A geometry-optimized Ac2TbHg structure (GGA-PBE, Alexandria).

Summary:
Polymorph energy (0 for the lowest one) = 6 meV/atom
Total moment = 0.00 μB per cell
Fermi-level density of states = 1.02 states/eV per atom

a = 3.962 Å, b = 3.962 Å, c = 9.235 Å
α = 90.00°, β = 90.00°, γ = 90.00°
Space group P4/mmm (No. 123)
One atom of each set of equivalent atoms:
Ac: 0.000 0.000 0.225
Tb: 0.500 0.500 0.500
Hg: 0.500 0.500 0.000

---

# 20
# Nd6Ni2Os

A geometry-optimized Nd6Ni2Os structure (GGA-PBE, Alexandria).

Summary:
Total moment = 0.00 μB per cell
Fermi-level density of states = 0.94 states/eV per atom

a = 9.549 Å, b = 9.865 Å, c = 9.999 Å
α = 90.00°, β = 90.00°, γ = 90.00°
Space group Immm (No. 71)
One atom of each set of equivalent atoms:
Nd: 0.000 0.237 0.178
Nd: 0.186 0.334 0.500
Nd: 0.240 0.000 0.330
Ni: 0.000 0.117 0.500
Ni: 0.000 0.500 0.316
Os: 0.000 0.000 0.000
Os: 0.000 0.500 0.000

---

# 21
# PuThSbN

A geometry-optimized PuThSbN structure (GGA-PBE, Alexandria).

Summary:
Total moment = 12.02 μB per cell
Fermi-level density of states = 0.77 states/eV per atom
Uncorrected formation energy = -4.3 eV per formula unit

a = 4.278 Å, b = 4.278 Å, c = 10.595 Å
α = 90.00°, β = 90.00°, γ = 90.00°
Space group P4/nmm (No. 129, origin choice 2)
One atom of each set of equivalent atoms:
Pu: 0.250 0.750 0.000
Th: 0.250 0.250 0.399
Sb: 0.250 0.250 0.782
N: 0.250 0.750 0.500

---

# 22
# LiTmPdRh

A geometry-optimized LiTmPdRh structure (GGA-PBE, Alexandria).

Summary:
Polymorph energy (0 for the lowest one) = 17 meV/atom
Total moment = 0.00 μB per cell
Fermi-level density of states = 0.31 states/eV per atom

a = 6.453 Å, b = 6.453 Å, c = 6.453 Å
α = 90.00°, β = 90.00°, γ = 90.00°
Space group F-43m (No. 216)
One atom of each set of equivalent atoms:
Li: 0.000 0.000 0.000
Tm: 0.000 0.000 0.500
Pd: 0.250 0.250 0.250
Rh: 0.250 0.250 0.750

---

| no. | total DFT energy (no corrections) (eV/atom) |
| --- | --- |
| 1 | -4.6310 |
| 2 | -1.6814 |
| 3 | -9.7705 |
| 4 | -7.4338 |
| 5 | -4.8952 |
| 6 | -2.2340 |
| 7 | -4.2282 |
| 8 | -5.2860 |
| 9 | -7.3575 |
| 10 | -3.5334 |
| 11 | -7.7119 |
| 12 | -10.0807 |
| 13 | -0.7352 |
| 14 | -3.4169 |
| 15 | -6.8177 |
| 16 | -3.8076 |
| 17 | -6.4249 |
| 18 | -4.6893 |
| 19 | -3.4841 |
| 20 | -5.8458 |
| 21 | -9.6276 |
| 22 | -5.3987 |